Run A
VASP calculation (SCAN) on a crystal of MgTa2As relaxed with PBEsol.

Cell lengths 3.869, 3.869, 10.246 Å; angles 100.88, 100.88, 90.00 degrees
Positions (direct):
As: 0.250 0.750 0.500
As: 0.000 0.000 0.000
Mg: 0.750 0.250 0.500
Mg: 0.500 0.500 0.000
Ta: 0.369 0.875 0.250
Ta: 0.881 0.375 0.250
Ta: 0.125 0.119 0.750
Ta: 0.625 0.631 0.750

## Properties
Fermi-level density of states: 6.928 states/eV/cell

=====

Run B
VASP calculation (SCAN) on a crystal of MgTa2As relaxed with PBEsol.

Cell lengths 3.452, 3.452, 5.835 Å; angles 90.00, 90.00, 90.00 degrees
Positions (direct):
As: 0.000 0.000 0.496
Mg: 0.500 0.500 0.744
Ta: 0.000 0.000 0.015
Ta: 0.500 0.500 0.245

## Properties
Fermi-level density of states: 3.009 states/eV/cell

=====

Most stable = run B

=====

Run A
VASP calculation (SCAN) on a crystal of MgTa2As relaxed with PBEsol.

Cell lengths 2.925, 2.925, 8.674 Å; angles 90.00, 90.00, 107.70 degrees
Positions (direct):
As: 0.500 0.500 0.500
Mg: 0.500 0.500 0.000
Ta: 0.000 0.000 0.276
Ta: 0.000 0.000 0.724

## Properties
Fermi-level density of states: 2.144 states/eV/cell

=====

Run B
VASP calculation (SCAN) on a crystal of MgTa2As relaxed with PBEsol.

Cell lengths 3.957, 3.957, 4.316 Å; angles 90.00, 90.00, 90.00 degrees
Positions (direct):
As: 0.500 0.500 0.500
Mg: 0.000 0.000 0.500
Ta: 0.000 0.500 0.000
Ta: 0.500 0.000 0.000

## Properties
Fermi-level density of states: 2.481 states/eV/cell

=====

Run C
VASP calculation (SCAN) on a crystal of MgTa2As relaxed with PBEsol.

Cell lengths 3.109, 4.771, 4.771 Å; angles 107.11, 90.00, 90.00 degrees
Positions (direct):
As: 0.500 0.000 0.000
Mg: 0.500 0.500 0.500
Ta: 0.000 0.500 0.000
Ta: 0.000 0.000 0.500

## Properties
Fermi-level density of states: 2.980 states/eV/cell

=====

Most stable = run A

=====

Run A
VASP calculation (SCAN) on a crystal of MgTe2As relaxed with PBEsol.

Cell lengths 4.018, 3.991, 6.607 Å; angles 90.00, 90.00, 90.00 degrees
Positions (direct):
As: 0.500 0.500 0.000
Mg: 0.000 0.500 0.500
Te: 0.000 0.000 0.000
Te: 0.500 0.000 0.500

## Properties
Fermi-level density of states: 2.635 states/eV/cell

=====

Run B
VASP calculation (SCAN) on a crystal of MgTe2As relaxed with PBEsol.

Cell lengths 3.566, 3.566, 7.268 Å; angles 90.00, 90.00, 90.00 degrees
Positions (direct):
As: 0.500 0.500 0.000
Mg: 0.500 0.500 0.500
Te: 0.000 0.000 0.749
Te: 0.000 0.000 0.251

## Properties
Fermi-level density of states: 2.082 states/eV/cell

=====

Most stable = run A

=====

Run A
VASP calculation (SCAN) on a crystal of MgTlAs2 relaxed with PBEsol.

Cell lengths 3.641, 3.641, 6.844 Å; angles 90.00, 90.00, 90.00 degrees
Positions (direct):
As: 0.000 0.000 0.820
As: 0.000 0.000 0.180
Mg: 0.500 0.500 0.000
Tl: 0.500 0.500 0.500

## Properties
Fermi-level density of states: 0.780 states/eV/cell

=====

Run B
VASP calculation (SCAN) on a crystal of MgTlAs2 relaxed with PBEsol.

Cell lengths 6.234, 6.234, 7.325 Å; angles 115.18, 115.18, 90.00 degrees
Positions (direct):
Mg: 0.750 0.250 0.500
Mg: 0.500 0.500 0.000
Tl: 0.250 0.750 0.500
Tl: 0.000 0.000 0.000
As: 0.383 0.875 0.250
As: 0.867 0.375 0.250
As: 0.125 0.133 0.750
As: 0.625 0.617 0.750

## Properties
Fermi-level density of states: 5.813 states/eV/cell

=====

Run C
VASP calculation (SCAN) on a crystal of MgTlAs2 relaxed with PBEsol.

Cell lengths 3.756, 4.854, 4.854 Å; angles 105.06, 90.00, 90.00 degrees
Positions (direct):
As: 0.000 0.500 0.000
As: 0.000 0.000 0.500
Mg: 0.500 0.000 0.000
Tl: 0.500 0.500 0.500

## Properties
Fermi-level density of states: 1.697 states/eV/cell

=====

Most stable = run A